Entry 1:
Below is a geometry-optimized La2Si3O9 structure, with properties calculated at the PBE level.

Values from the calculation:
- Formation energy from raw total energies: -3.11 eV/atom
- Total magnetization: 0.0 μB per cell
- Raw total energy: -8.1631 eV/atom
- Mass density: 4.0 g cm⁻³

Unit cell a=6.867 b=6.867 c=10.292 alpha=90.00 beta=90.00 gamma=120.00
Atoms (fractional coordinates):
1 La 0.333 0.667 0.014
2 La 0.333 0.667 0.486
3 La 0.667 0.333 0.514
4 La 0.667 0.333 0.986
5 Si 0.022 0.265 0.750
6 Si 0.243 0.978 0.750
7 Si 0.265 0.243 0.250
8 Si 0.735 0.757 0.750
9 Si 0.757 0.022 0.250
10 Si 0.978 0.735 0.250
11 O 0.019 0.232 0.250
12 O 0.024 0.398 0.618
13 O 0.024 0.398 0.882
14 O 0.214 0.981 0.250
15 O 0.232 0.214 0.750
16 O 0.374 0.976 0.618
17 O 0.374 0.976 0.882
18 O 0.398 0.374 0.118
19 O 0.398 0.374 0.382
20 O 0.602 0.626 0.618
21 O 0.602 0.626 0.882
22 O 0.626 0.024 0.118
23 O 0.626 0.024 0.382
24 O 0.768 0.786 0.250
25 O 0.786 0.019 0.750
26 O 0.976 0.602 0.118
27 O 0.976 0.602 0.382
28 O 0.981 0.768 0.750



Entry 2:
Below is a geometry-optimized LaSi2O2 structure, with properties calculated at the PBE level.

Values from the calculation:
- Formation energy from raw total energies: -0.70 eV/atom
- Total magnetization: 0.0 μB per cell
- Raw total energy: -5.8361 eV/atom
- Mass density: 5.0 g cm⁻³

Unit cell a=4.285 b=4.285 c=8.239 alpha=90.00 beta=90.00 gamma=90.00
Atoms (fractional coordinates):
1 La 0.000 0.000 0.000
2 La 0.500 0.500 0.500
3 Si 0.000 0.000 0.355
4 Si 0.000 0.000 0.645
5 Si 0.500 0.500 0.145
6 Si 0.500 0.500 0.855
7 O 0.000 0.500 0.250
8 O 0.000 0.500 0.750
9 O 0.500 0.000 0.250
10 O 0.500 0.000 0.750